## HfAlCr2O6 (PBE with a Hubbard U)

Data for a relaxed structure of HfAlCr2O6.

Summary:
- Electronic total energy: -8.403 eV per atom
- Calculated density: 6.197 g/cm3

Unit cell a=5.099 b=5.202 c=5.630 alpha=60.70 beta=62.92 gamma=60.37
Fractional coordinates of all 10 atoms:
Hf1 0.802 0.820 0.568
Al1 0.311 0.326 0.045
Cr1 0.527 0.527 0.422
Cr2 0.014 0.010 0.963
O1 0.602 0.184 0.236
O2 0.207 0.956 0.238
O3 0.954 0.596 0.240
O4 0.411 0.709 0.790
O5 0.717 0.116 0.752
O6 0.117 0.418 0.761